Computed, not measured: an optimized crystal structure of LiSnH2 at the PBE level of DFT.

Geometry as POSCAR:
```
LiSnH2
1.0
5.7662 0.0000 0.0000
0.0000 5.7662 0.0000
0.0000 0.0000 5.7662
Li Sn H
4 4 8
Cartesian
0.0000 0.0000 0.0000
0.0000 2.8831 2.8831
2.8831 0.0000 2.8831
2.8831 2.8831 0.0000
0.0000 0.0000 2.8831
0.0000 2.8831 0.0000
2.8831 0.0000 0.0000
2.8831 2.8831 2.8831
1.4415 1.4415 1.4415
1.4415 1.4415 4.3246
1.4415 4.3246 1.4415
1.4415 4.3246 4.3246
4.3246 1.4415 1.4415
4.3246 1.4415 4.3246
4.3246 4.3246 1.4415
4.3246 4.3246 4.3246
```

Magnetization   0.000 μB/atom
Energy   -2.80 eV per atom
Mass density   4.42 g cm⁻³
Space group   No. 225
Calculated volume   12.0 Å³ per atom